# Ce2Th2In

A relaxed structure of Ce2Th2In (PBE, Alexandria).

Summary:
ΔE to the lowest computed polymorph: 487 meV/atom
Raw total energy: -5.49 eV per atom
Energy of formation: 402 meV/atom

Cell lengths 5.753, 5.753, 8.962 Å; angles 90.00, 90.00, 90.00 degrees
Space group I4/mmm (No. 139)
Asymmetric unit:
Ce (0.000, 0.000, 0.144) [4 per cell]
Th (0.000, 0.500, 0.250) [4 per cell]
In (0.000, 0.000, 0.500) [2 per cell]